Entry 1:
A geometry-optimized Sm4InSn3 structure, computed with PBE.

Cell and atoms, written as CIF:
```
data_Sm4InSn3
_cell_length_a 4.366
_cell_length_b 4.621
_cell_length_c 11.662
_cell_angle_alpha 90.00
_cell_angle_beta 90.00
_cell_angle_gamma 90.00
_space_group_name_H-M_alt 'P 1'
_space_group_IT_number 1
loop_
_space_group_symop_operation_xyz
'x,y,z'
loop_
_atom_site_label
_atom_site_type_symbol
_atom_site_fract_x
_atom_site_fract_y
_atom_site_fract_z
Sm1 Sm 0.000 0.000 0.000
Sm2 Sm 0.000 0.500 0.499
Sm3 Sm 0.500 0.000 0.726
Sm4 Sm 0.500 0.500 0.226
In1 In 0.000 0.500 0.776
Sn1 Sn 0.000 0.000 0.272
Sn2 Sn 0.500 0.000 0.453
Sn3 Sn 0.500 0.500 0.949
```

Values from the calculation:
E_form: -5.7 eV/f.u.
ρ: 7.57 g cm⁻³
Total DFT energy (no corrections): -39.28 eV/f.u.


Entry 2:
A geometry-optimized KTl3In2I6 structure, computed with PBE.

Cell and atoms, written as CIF:
```
data_KTl3In2I6
_cell_length_a 8.672
_cell_length_b 8.672
_cell_length_c 8.655
_cell_angle_alpha 99.60
_cell_angle_beta 99.60
_cell_angle_gamma 120.00
_space_group_name_H-M_alt 'P 1'
_space_group_IT_number 1
loop_
_space_group_symop_operation_xyz
'x,y,z'
loop_
_atom_site_label
_atom_site_type_symbol
_atom_site_fract_x
_atom_site_fract_y
_atom_site_fract_z
K1 K 0.000 0.000 0.000
Tl1 Tl 0.165 0.835 0.500
Tl2 Tl 0.500 0.500 0.500
Tl3 Tl 0.835 0.165 0.500
In1 In 0.333 0.667 0.000
In2 In 0.667 0.333 0.000
I1 I 0.082 0.418 0.248
I2 I 0.253 0.253 0.752
I3 I 0.418 0.082 0.248
I4 I 0.582 0.918 0.752
I5 I 0.747 0.747 0.248
I6 I 0.918 0.582 0.752
```

Values from the calculation:
ρ: 5.14 g cm⁻³
Total DFT energy (no corrections): -31.74 eV/f.u.


What did the second record say?
A geometry-optimized KTl3In2I6 structure, computed with PBE.

Cell and atoms, written as CIF:
```
data_KTl3In2I6
_cell_length_a 8.672
_cell_length_b 8.672
_cell_length_c 8.655
_cell_angle_alpha 99.60
_cell_angle_beta 99.60
_cell_angle_gamma 120.00
_space_group_name_H-M_alt 'P 1'
_space_group_IT_number 1
loop_
_space_group_symop_operation_xyz
'x,y,z'
loop_
_atom_site_label
_atom_site_type_symbol
_atom_site_fract_x
_atom_site_fract_y
_atom_site_fract_z
K1 K 0.000 0.000 0.000
Tl1 Tl 0.165 0.835 0.500
Tl2 Tl 0.500 0.500 0.500
Tl3 Tl 0.835 0.165 0.500
In1 In 0.333 0.667 0.000
In2 In 0.667 0.333 0.000
I1 I 0.082 0.418 0.248
I2 I 0.253 0.253 0.752
I3 I 0.418 0.082 0.248
I4 I 0.582 0.918 0.752
I5 I 0.747 0.747 0.248
I6 I 0.918 0.582 0.752
```

Values from the calculation:
ρ: 5.14 g cm⁻³
Total DFT energy (no corrections): -31.74 eV/f.u.


What did the second record say?
A geometry-optimized KTl3In2I6 structure, computed with PBE.

Cell and atoms, written as CIF:
```
data_KTl3In2I6
_cell_length_a 8.672
_cell_length_b 8.672
_cell_length_c 8.655
_cell_angle_alpha 99.60
_cell_angle_beta 99.60
_cell_angle_gamma 120.00
_space_group_name_H-M_alt 'P 1'
_space_group_IT_number 1
loop_
_space_group_symop_operation_xyz
'x,y,z'
loop_
_atom_site_label
_atom_site_type_symbol
_atom_site_fract_x
_atom_site_fract_y
_atom_site_fract_z
K1 K 0.000 0.000 0.000
Tl1 Tl 0.165 0.835 0.500
Tl2 Tl 0.500 0.500 0.500
Tl3 Tl 0.835 0.165 0.500
In1 In 0.333 0.667 0.000
In2 In 0.667 0.333 0.000
I1 I 0.082 0.418 0.248
I2 I 0.253 0.253 0.752
I3 I 0.418 0.082 0.248
I4 I 0.582 0.918 0.752
I5 I 0.747 0.747 0.248
I6 I 0.918 0.582 0.752
```

Values from the calculation:
ρ: 5.14 g cm⁻³
Total DFT energy (no corrections): -31.74 eV/f.u.


> Which value of ρ does entry 2 give?

5.14 g cm⁻³


> Which of these has the highest ρ?

Sm4InSn3